AcTb2Pm: optimized geometry, GGA-PBE.

abc: 3.622 8.808 11.831
angles: 129.59 90.00 90.00
Element x y z (fractional)
Pm: 0.000 0.000 0.000
Pm: 0.500 0.000 0.500
Tb: 0.500 0.782 0.131
Tb: 0.000 0.770 0.621
Tb: 0.000 0.230 0.379
Tb: 0.500 0.218 0.869
Ac: 0.500 0.522 0.744
Ac: 0.500 0.478 0.256

Output
Its calculated formation energy is 0.1513 eV per atom. For the density of states at the Fermi level, the calculation gives 6.113 states/eV/f.u. Its calculated total energy is -4.379 eV per atom.

=====

ZrScAg6: optimized geometry, GGA-PBE.

abc: 4.347 5.040 7.920
angles: 80.25 74.07 64.45
Element x y z (fractional)
Sc: 0.000 0.000 0.000
Ag: 0.249 0.875 0.626
Ag: 0.500 0.750 0.250
Ag: 0.749 0.626 0.876
Ag: 0.751 0.125 0.374
Ag: 0.251 0.374 0.124
Ag: 0.500 0.250 0.750
Zr: 0.000 0.500 0.500

Output
Its calculated formation energy is -0.0859 eV per atom. For the density of states at the Fermi level, the calculation gives 4.433 states/eV/f.u. Its calculated total energy is -4.084 eV per atom.

=====

LiBe2Pd: optimized geometry, GGA-PBE.

abc: 3.375 3.375 8.660
angles: 78.76 78.76 90.00
Element x y z (fractional)
Be: 0.875 0.901 0.750
Be: 0.099 0.625 0.250
Be: 0.375 0.349 0.750
Be: 0.651 0.125 0.250
Li: 0.500 0.500 0.000
Li: 0.250 0.750 0.500
Pd: 0.750 0.250 0.500
Pd: 0.000 0.000 0.000

Output
Its calculated formation energy is 0.1401 eV per atom. For the density of states at the Fermi level, the calculation gives 1.410 states/eV/f.u. Its calculated total energy is -3.500 eV per atom.

=====

The lowest calculated formation energy belongs to which entry? ZrScAg6